The following is a PBE calculation of a relaxed TlTeN2O crystal, from Alexandria.

a b c (Å): 4.073 4.073 6.861
angles (deg): 90.00 90.00 90.00
Fractional coordinates of all 5 atoms:
Tl 0.000 0.000 0.000
Te 0.000 0.000 0.500
N 0.000 0.500 0.000
N 0.500 0.000 0.000
O 0.500 0.500 0.500

Calculated values
- uncorrected formation energy (meV per atom) = 2127
- crystal system = tetragonal
- calculated total energy (eV/atom) = -3.297
- M_tot (μB/f.u.) = 3.3